## LiHfIn (GGA-PBE)

Data for crystalline LiHfIn at its relaxed geometry.

The structure in CIF format:
```
data_LiHfIn
_cell_length_a 6.6118
_cell_length_b 6.6118
_cell_length_c 6.6118
_cell_angle_alpha 90.00
_cell_angle_beta 90.00
_cell_angle_gamma 90.00
_space_group_name_H-M_alt 'F -4 3 m'
_space_group_IT_number 216
_space_group_name_Hall 'F -4 2 3'
loop_
_atom_site_label
_atom_site_type_symbol
_atom_site_fract_x
_atom_site_fract_y
_atom_site_fract_z
_atom_site_occupancy
Li1 Li 0.0000 0.0000 0.0000 1
Hf1 Hf 0.0000 0.0000 0.5000 1
In1 In 0.2500 0.2500 0.2500 1
```

Properties
Magnetization (μB/f.u.): 0.0
Total energy (eV/atom): -4.533
Polymorph energy (0 for the lowest one) (eV/atom): 0.557
E_form (eV/f.u.): 1.01
Theoretical density (Mg/m³): 6.90